Record 1
{"formula": "FeBr", "functional": "PBE", "state": "relaxed", "space_group": "P6_3/mmc, No. 194", "rho_g_cm3": 4.7, "e_tot_ev_per_atom": -4.8029, "raw_formation_energy_ev_per_atom": 0.2648, "m_tot_mub_per_cell": 12.15, "lattice_angstrom": [[-3.940, 0.744, -0.273], [1.342, -3.786, -0.111], [-1.095, -0.788, 13.628]], "species": ["Fe", "Fe", "Fe", "Fe", "Br", "Br", "Br", "Br"], "frac_coords": [[0.000, 0.000, 0.250], [0.000, 0.000, 0.750], [0.333, 0.667, 0.750], [0.667, 0.333, 0.250], [0.333, 0.667, 0.127], [0.667, 0.333, 0.627], [0.667, 0.333, 0.873], [0.333, 0.667, 0.373]]}

---

Record 2
{"formula": "FeBr", "functional": "PBE", "state": "relaxed", "space_group": "P2_12_12_1, No. 19", "rho_g_cm3": 5.3, "e_tot_ev_per_atom": -4.8917, "raw_formation_energy_ev_per_atom": 0.1761, "m_tot_mub_per_cell": 24.06, "lattice_angstrom": [[-4.018, 5.411, 1.949], [-2.418, -3.650, 5.150], [5.283, 2.414, 4.190]], "species": ["Fe", "Fe", "Fe", "Fe", "Fe", "Fe", "Fe", "Fe", "Br", "Br", "Br", "Br", "Br", "Br", "Br", "Br"], "frac_coords": [[0.432, 0.064, 0.018], [0.932, 0.436, 0.982], [0.568, 0.564, 0.482], [0.068, 0.936, 0.518], [0.221, 0.629, 0.479], [0.721, 0.871, 0.521], [0.779, 0.129, 0.021], [0.279, 0.371, 0.979], [0.612, 0.153, 0.322], [0.112, 0.347, 0.678], [0.388, 0.653, 0.178], [0.888, 0.847, 0.822], [0.388, 0.884, 0.696], [0.888, 0.616, 0.304], [0.612, 0.384, 0.804], [0.112, 0.116, 0.196]]}

---

Record 3
{"formula": "Fe3Br4", "functional": "PBE", "state": "relaxed", "space_group": "P6/mmm, No. 191", "rho_g_cm3": 5.6, "e_tot_ev_per_atom": -3.9508, "raw_formation_energy_ev_per_atom": 0.6320, "m_tot_mub_per_cell": 10.10, "lattice_angstrom": [[2.833, -4.907, 0.000], [2.833, 4.907, 0.000], [0.000, 0.000, 5.181]], "species": ["Fe", "Fe", "Fe", "Br", "Br", "Br", "Br"], "frac_coords": [[0.000, 0.500, 0.000], [0.500, 0.500, 0.000], [0.500, 0.000, 0.000], [0.000, 0.000, 0.252], [0.000, 0.000, 0.748], [0.667, 0.333, 0.500], [0.333, 0.667, 0.500]]}

---

Record 4
{"formula": "FeBr", "functional": "PBE", "state": "relaxed", "space_group": "Pnma, No. 62", "rho_g_cm3": 5.3, "e_tot_ev_per_atom": -4.8787, "raw_formation_energy_ev_per_atom": 0.1891, "m_tot_mub_per_cell": 12.09, "lattice_angstrom": [[-1.798, 1.142, 2.638], [-0.983, -6.455, 2.124], [6.129, 0.386, 4.010]], "species": ["Fe", "Fe", "Fe", "Fe", "Br", "Br", "Br", "Br"], "frac_coords": [[0.250, 0.025, 0.388], [0.750, 0.475, 0.888], [0.250, 0.525, 0.112], [0.750, 0.975, 0.612], [0.250, 0.772, 0.844], [0.750, 0.728, 0.344], [0.250, 0.272, 0.656], [0.750, 0.228, 0.156]]}

---

Record 5
{"formula": "Fe2Br", "functional": "PBE", "state": "relaxed", "space_group": "Cmcm, No. 63", "rho_g_cm3": 5.7, "e_tot_ev_per_atom": -6.0943, "polymorph_energy_mev_per_atom": 52, "raw_formation_energy_ev_per_atom": 0.1051, "m_tot_mub_per_cell": 0.61, "lattice_angstrom": [[-7.708, 3.462, -1.988], [7.674, -3.690, -1.686], [-1.520, -3.261, 0.217]], "species": ["Fe", "Fe", "Fe", "Fe", "Br", "Br"], "frac_coords": [[0.044, 0.956, 0.750], [0.454, 0.546, 0.750], [0.546, 0.454, 0.250], [0.956, 0.044, 0.250], [0.845, 0.155, 0.750], [0.155, 0.845, 0.250]]}

---

Record 6
{"formula": "FeBr", "functional": "PBE", "state": "relaxed", "space_group": "Cm, No. 8", "rho_g_cm3": 5.1, "e_tot_ev_per_atom": -4.6769, "raw_formation_energy_ev_per_atom": 0.3908, "m_tot_mub_per_cell": 3.01, "lattice_angstrom": [[10.966, 1.167, 0.153], [-5.907, 2.620, -0.199], [14.877, 1.224, 1.463]], "species": ["Fe", "Br"], "frac_coords": [[0.643, 0.854, 0.197], [0.424, 0.631, 0.694]]}

---

Record 7
{"formula": "FeBr2", "functional": "PBE", "state": "relaxed", "space_group": "C2/m, No. 12", "rho_g_cm3": 3.7, "e_tot_ev_per_atom": -4.2170, "raw_formation_energy_ev_per_atom": -0.2809, "m_tot_mub_per_cell": 7.84, "lattice_angstrom": [[1.748, 8.669, 1.256], [-1.748, 8.669, 1.256], [0.000, 4.019, 6.987]], "species": ["Fe", "Fe", "Br", "Br", "Br", "Br"], "frac_coords": [[0.487, 0.487, 0.357], [0.513, 0.513, 0.643], [0.103, 0.103, 0.100], [0.897, 0.897, 0.900], [0.143, 0.143, 0.490], [0.857, 0.857, 0.510]]}

---

Record 8
{"formula": "Fe2Br", "functional": "PBE", "state": "relaxed", "space_group": "P-3m1, No. 164", "rho_g_cm3": 6.9, "e_tot_ev_per_atom": -5.3621, "polymorph_energy_mev_per_atom": 784, "raw_formation_energy_ev_per_atom": 0.8374, "m_tot_mub_per_cell": 5.37, "lattice_angstrom": [[-3.730, -1.942, -0.038], [3.255, -1.738, 2.016], [-0.787, 1.463, 2.532]], "species": ["Br", "Fe", "Fe"], "frac_coords": [[0.000, 0.000, 0.000], [0.667, 0.333, 0.658], [0.333, 0.667, 0.342]]}

---

Record 9
{"formula": "Fe2Br", "functional": "PBE", "state": "relaxed", "space_group": "Pnma, No. 62", "rho_g_cm3": 5.9, "e_tot_ev_per_atom": -5.8021, "polymorph_energy_mev_per_atom": 344, "raw_formation_energy_ev_per_atom": 0.3973, "m_tot_mub_per_cell": 23.70, "lattice_angstrom": [[3.320, 0.000, 0.000], [0.000, 6.302, 0.001], [0.000, 0.001, 10.251]], "species": ["Fe", "Fe", "Fe", "Fe", "Fe", "Fe", "Fe", "Fe", "Br", "Br", "Br", "Br"], "frac_coords": [[0.250, 0.166, 0.657], [0.750, 0.334, 0.157], [0.250, 0.666, 0.843], [0.750, 0.834, 0.343], [0.250, 0.083, 0.424], [0.750, 0.417, 0.924], [0.250, 0.583, 0.076], [0.750, 0.917, 0.576], [0.250, 0.475, 0.343], [0.750, 0.025, 0.843], [0.250, 0.975, 0.157], [0.750, 0.525, 0.657]]}

---

Record 10
{"formula": "FeBr2", "functional": "PBE", "state": "relaxed", "space_group": "Fd-3m, No. 227", "rho_g_cm3": 4.4, "e_tot_ev_per_atom": -2.5641, "raw_formation_energy_ev_per_atom": 1.3720, "m_tot_mub_per_cell": 6.02, "lattice_angstrom": [[0.000, 4.342, 4.342], [4.342, 0.000, 4.342], [4.342, 4.342, 0.000]], "species": ["Fe", "Fe", "Br", "Br", "Br", "Br"], "frac_coords": [[0.500, 0.500, 0.500], [0.750, 0.750, 0.750], [0.625, 0.125, 0.125], [0.125, 0.625, 0.125], [0.125, 0.125, 0.625], [0.125, 0.125, 0.125]]}

---

Record 11
{"formula": "FeBr", "functional": "PBE", "state": "relaxed", "space_group": "I4_1/amd, No. 141", "rho_g_cm3": 5.7, "e_tot_ev_per_atom": -4.4573, "raw_formation_energy_ev_per_atom": 0.6105, "m_tot_mub_per_cell": 6.07, "lattice_angstrom": [[6.442, 0.000, 0.000], [4.370, 4.733, 0.000], [-5.406, -2.366, 2.584]], "species": ["Br", "Br", "Fe", "Fe"], "frac_coords": [[0.000, 0.000, 0.000], [0.250, 0.750, 0.500], [0.500, 0.500, 0.000], [0.750, 0.250, 0.500]]}

---

Record 12
{"formula": "FeBr", "functional": "PBE", "state": "relaxed", "space_group": "Pmma, No. 51", "rho_g_cm3": 4.9, "e_tot_ev_per_atom": -4.8544, "raw_formation_energy_ev_per_atom": 0.2134, "m_tot_mub_per_cell": 6.26, "lattice_angstrom": [[3.636, 0.000, 0.000], [0.000, 3.236, 0.000], [0.000, 0.000, 7.864]], "species": ["Br", "Br", "Fe", "Fe"], "frac_coords": [[0.000, 0.000, 0.924], [0.000, 0.500, 0.409], [0.500, 0.000, 0.550], [0.500, 0.500, 0.784]]}